First-principles (PBE+U) data for an optimized crystal structure of VOF, as listed in the Alexandria database.

* DFT total energy: -129.51 eV/cell
* total moment: 2.00 μB per formula unit

Lattice parameters (Å, degrees): 9.3889 4.7271 4.7137 90.00 90.00 90.00
Space group Pmn2_1 (No. 31)
Unique sites:
V  0.0000  0.2263  0.0000 (multiplicity 2)
V  0.1674  0.7200  0.4321 (multiplicity 4)
O  0.0000  0.9234  0.2702 (multiplicity 2)
O  0.1679  0.4316  0.1464 (multiplicity 4)
F  0.0000  0.5169  0.6521 (multiplicity 2)
F  0.1656  0.0417  0.7521 (multiplicity 4)